Compound: Sr5Al
Source: the Alexandria database
Functional: PBE
Structure: optimized geometry

POSCAR file:
```
Sr5Al
1.0
7.1780 -2.0764 0.0000
7.1780 2.0764 0.0000
-3.8663 0.0000 9.3192
Sr Al
5 1
Cartesian
0.0000 0.0000 0.0000
3.9479 0.0000 2.0470
2.8699 0.0000 5.8630
7.6197 0.0000 3.4562
6.5418 0.0000 7.2722
-1.9331 0.0000 4.6596
```

Energy relative to the lowest polymorph listed for this composition = 0.013 eV/atom
Symmetry = C2/m, No. 12